(1)
## Ba2CrCoTe (GGA-PBEsol)

Data for crystalline Ba2CrCoTe at its relaxed geometry.

```
data_Ba2CrCoTe
_symmetry_space_group_name_H-M 'P 4/m m m'
_symmetry_Int_Tables_number 123
_symmetry_space_group_name_Hall '-P 4 2'
_cell_length_a 6.518
_cell_length_b 6.518
_cell_length_c 4.595
_cell_angle_alpha 90.00
_cell_angle_beta 90.00
_cell_angle_gamma 90.00
loop_
_atom_site_label
_atom_site_type_symbol
_atom_site_fract_x
_atom_site_fract_y
_atom_site_fract_z
Ba1 Ba 0.000 0.500 0.000
Cr1 Cr 0.000 0.000 0.500
Co1 Co 0.500 0.500 0.500
Te1 Te 0.500 0.500 0.000
```

Calculated values
energy relative to the elements, uncorrected	0.473	eV per atom
calculated volume	39.04	A^3/atom
DOS(E_F)	4.9	states/eV/f.u.

---

(2)
## CsBaCo3 (GGA-PBEsol)

Data for crystalline CsBaCo3 at its relaxed geometry.

```
data_CsBaCo3
_symmetry_space_group_name_H-M 'P m -3 m'
_symmetry_Int_Tables_number 221
_symmetry_space_group_name_Hall '-P 4 2 3'
_cell_length_a 4.846
_cell_length_b 4.846
_cell_length_c 4.846
_cell_angle_alpha 90.00
_cell_angle_beta 90.00
_cell_angle_gamma 90.00
loop_
_atom_site_label
_atom_site_type_symbol
_atom_site_fract_x
_atom_site_fract_y
_atom_site_fract_z
Cs1 Cs 0.000 0.000 0.000
Ba1 Ba 0.500 0.500 0.500
Co1 Co 0.000 0.000 0.500
```

Calculated values
calculated volume	22.76	A^3/atom
ΔE_f	184.22	kJ per mole of atoms
DOS(E_F)	8.2	states/eV/f.u.

---

(3)
## Cs2BaCoSi (GGA-PBEsol)

Data for crystalline Cs2BaCoSi at its relaxed geometry.

```
data_Cs2BaCoSi
_symmetry_space_group_name_H-M 'P 4/m m m'
_symmetry_Int_Tables_number 123
_symmetry_space_group_name_Hall '-P 4 2'
_cell_length_a 6.996
_cell_length_b 6.996
_cell_length_c 4.382
_cell_angle_alpha 90.00
_cell_angle_beta 90.00
_cell_angle_gamma 90.00
loop_
_atom_site_label
_atom_site_type_symbol
_atom_site_fract_x
_atom_site_fract_y
_atom_site_fract_z
Cs1 Cs 0.000 0.500 0.000
Ba1 Ba 0.000 0.000 0.500
Co1 Co 0.500 0.500 0.500
Si1 Si 0.500 0.500 0.000
```

Calculated values
energy relative to the elements, uncorrected	0.633	eV per atom
calculated volume	42.89	A^3/atom
DOS(E_F)	7.9	states/eV/f.u.

---

(4)
## BaCoCu3 (GGA-PBEsol)

Data for crystalline BaCoCu3 at its relaxed geometry.

```
data_BaCoCu3
_symmetry_space_group_name_H-M 'P m -3 m'
_symmetry_Int_Tables_number 221
_symmetry_space_group_name_Hall '-P 4 2 3'
_cell_length_a 4.589
_cell_length_b 4.589
_cell_length_c 4.589
_cell_angle_alpha 90.00
_cell_angle_beta 90.00
_cell_angle_gamma 90.00
loop_
_atom_site_label
_atom_site_type_symbol
_atom_site_fract_x
_atom_site_fract_y
_atom_site_fract_z
Ba1 Ba 0.000 0.000 0.000
Co1 Co 0.500 0.500 0.500
Cu1 Cu 0.000 0.500 0.500
```

Calculated values
calculated volume	19.33	A^3/atom
ΔE_f	45.51	kJ per mole of atoms
DOS(E_F)	6.2	states/eV/f.u.
energy above the most stable polymorph in this dataset	0	meV/atom

---

(5)
## BaCoCu2 (GGA-PBEsol)

Data for crystalline BaCoCu2 at its relaxed geometry.

```
data_BaCoCu2
_symmetry_space_group_name_H-M 'I 4/m m m'
_symmetry_Int_Tables_number 139
_symmetry_space_group_name_Hall '-I 4 2'
_cell_length_a 3.946
_cell_length_b 3.946
_cell_length_c 8.876
_cell_angle_alpha 90.00
_cell_angle_beta 90.00
_cell_angle_gamma 90.00
loop_
_atom_site_label
_atom_site_type_symbol
_atom_site_fract_x
_atom_site_fract_y
_atom_site_fract_z
Ba1 Ba 0.000 0.000 0.000
Co1 Co 0.000 0.000 0.500
Cu1 Cu 0.000 0.500 0.250
```

Calculated values
calculated volume	17.27	A^3/atom
ΔE_f	73.49	kJ per mole of atoms
DOS(E_F)	4.8	states/eV/f.u.
energy above the most stable polymorph in this dataset	152	meV/atom

---

(6)
## BaCoCu3 (GGA-PBEsol)

Data for crystalline BaCoCu3 at its relaxed geometry.

```
data_BaCoCu3
_symmetry_space_group_name_H-M 'P m -3 m'
_symmetry_Int_Tables_number 221
_symmetry_space_group_name_Hall '-P 4 2 3'
_cell_length_a 5.189
_cell_length_b 5.189
_cell_length_c 5.189
_cell_angle_alpha 90.00
_cell_angle_beta 90.00
_cell_angle_gamma 90.00
loop_
_atom_site_label
_atom_site_type_symbol
_atom_site_fract_x
_atom_site_fract_y
_atom_site_fract_z
Ba1 Ba 0.000 0.000 0.000
Co1 Co 0.500 0.500 0.500
Cu1 Cu 0.000 0.000 0.500
```

Calculated values
calculated volume	27.95	A^3/atom
ΔE_f	213.18	kJ per mole of atoms
DOS(E_F)	4.7	states/eV/f.u.
energy above the most stable polymorph in this dataset	1738	meV/atom

---

Q: The lowest calculated volume belongs to which entry?
A: BaCoCu2